Record 1
First-principles (PBE) data for SmPu2Si2Pd2 after structural relaxation, as listed in the Alexandria database. Values from VASP.

Geometry as Quantum ESPRESSO input:
```
&SYSTEM
  ibrav = 0, nat = 7, ntyp = 4
/
ATOMIC_SPECIES
Sm 150.36 Sm.upf
Pu 244.00 Pu.upf
Si 28.09 Si.upf
Pd 106.42 Pd.upf
CELL_PARAMETERS angstrom
2.039 1.177 9.223
-2.039 1.177 9.223
0.000 -2.355 9.223
ATOMIC_POSITIONS crystal
Sm 0.000 0.000 0.000
Pu 0.149 0.149 0.149
Pu 0.851 0.851 0.851
Si 0.253 0.253 0.253
Si 0.747 0.747 0.747
Pd 0.406 0.406 0.406
Pd 0.594 0.594 0.594
```

Calculated values
Space group: R-3m
Raw formation energy (eV/atom): -0.514

***

Record 2
First-principles (PBE) data for La2TbNdY2 after structural relaxation, as listed in the Alexandria database. Values from VASP.

Geometry as Quantum ESPRESSO input:
```
&SYSTEM
  ibrav = 0, nat = 12, ntyp = 4
/
ATOMIC_SPECIES
La 138.91 La.upf
Tb 158.93 Tb.upf
Nd 144.24 Nd.upf
Y 88.91 Y.upf
CELL_PARAMETERS angstrom
6.802 0.000 0.000
0.000 17.866 0.000
0.000 0.000 3.422
ATOMIC_POSITIONS crystal
La 0.242 0.153 0.000
La 0.258 0.653 0.500
La 0.742 0.347 0.500
La 0.758 0.847 0.000
Tb 0.000 0.500 0.500
Tb 0.500 0.000 0.000
Nd 0.000 0.000 0.500
Nd 0.500 0.500 0.000
Y 0.248 0.326 0.500
Y 0.252 0.826 0.000
Y 0.748 0.174 0.000
Y 0.752 0.674 0.500
```

Calculated values
Formation energy from the elements (eV per atom): 0.245
Space group: Pnnm

***

Record 3
First-principles (PBE) data for Ca2HoReO8 after structural relaxation, as listed in the Alexandria database. Values from VASP.

Geometry as Quantum ESPRESSO input:
```
&SYSTEM
  ibrav = 0, nat = 12, ntyp = 4
/
ATOMIC_SPECIES
Ca 40.08 Ca.upf
Ho 164.93 Ho.upf
Re 186.21 Re.upf
O 16.00 O.upf
CELL_PARAMETERS angstrom
4.680 0.000 0.000
-0.059 5.275 0.000
-0.013 -0.005 6.567
ATOMIC_POSITIONS crystal
Ca 0.001 0.000 0.263
Ca 0.999 0.000 0.737
Ho 0.500 0.500 0.000
Re 0.500 0.500 0.500
O 0.266 0.370 0.281
O 0.267 0.369 0.718
O 0.282 0.796 0.501
O 0.360 0.929 0.000
O 0.640 0.071 0.000
O 0.718 0.204 0.499
O 0.733 0.631 0.282
O 0.734 0.630 0.719
```

Calculated values
Space group: P-1
Raw formation energy (eV/atom): -2.240

***

Record 4
First-principles (PBE) data for Li8TmS6 after structural relaxation, as listed in the Alexandria database. Values from VASP.

Geometry as Quantum ESPRESSO input:
```
&SYSTEM
  ibrav = 0, nat = 15, ntyp = 3
/
ATOMIC_SPECIES
Li 6.94 Li.upf
Tm 168.93 Tm.upf
S 32.06 S.upf
CELL_PARAMETERS angstrom
3.423 1.976 6.333
-3.423 1.976 6.333
0.000 -3.952 6.333
ATOMIC_POSITIONS crystal
Li 0.029 0.721 0.385
Li 0.164 0.164 0.164
Li 0.279 0.615 0.971
Li 0.385 0.029 0.721
Li 0.615 0.971 0.279
Li 0.721 0.385 0.029
Li 0.836 0.836 0.836
Li 0.971 0.279 0.615
Tm 0.500 0.500 0.500
S 0.097 0.415 0.746
S 0.254 0.903 0.585
S 0.415 0.746 0.097
S 0.585 0.254 0.903
S 0.746 0.097 0.415
S 0.903 0.585 0.254
```

Calculated values
Space group: R-3
Raw formation energy (eV/atom): -1.348

***

Record 5
First-principles (PBE) data for Cs2KCdAg after structural relaxation, as listed in the Alexandria database. Values from VASP.

Geometry as Quantum ESPRESSO input:
```
&SYSTEM
  ibrav = 0, nat = 5, ntyp = 4
/
ATOMIC_SPECIES
Cs 132.91 Cs.upf
K 39.10 K.upf
Cd 112.41 Cd.upf
Ag 107.87 Ag.upf
CELL_PARAMETERS angstrom
7.094 0.000 0.000
0.000 7.094 0.000
0.000 0.000 6.549
ATOMIC_POSITIONS crystal
Cs 0.000 0.500 0.000
Cs 0.500 0.000 0.000
K 0.000 0.000 0.500
Cd 0.500 0.500 0.500
Ag 0.000 0.000 0.000
```

Calculated values
Formation energy from the elements (eV per atom): 0.133
Space group: P4/mmm
Offset from the most stable computed form (meV/atom): 76.7

***

Record 6
First-principles (PBE) data for InAgRh2 after structural relaxation, as listed in the Alexandria database. Values from VASP.

Geometry as Quantum ESPRESSO input:
```
&SYSTEM
  ibrav = 0, nat = 4, ntyp = 3
/
ATOMIC_SPECIES
In 114.82 In.upf
Ag 107.87 Ag.upf
Rh 102.91 Rh.upf
CELL_PARAMETERS angstrom
0.000 3.217 3.217
3.217 0.000 3.217
3.217 3.217 0.000
ATOMIC_POSITIONS crystal
In 0.000 0.000 0.000
Ag 0.750 0.750 0.750
Rh 0.250 0.250 0.250
Rh 0.500 0.500 0.500
```

Calculated values
Formation energy from the elements (eV per atom): 0.042
Space group: F-43m

***

Record 7
First-principles (PBE) data for Ca2TaSe after structural relaxation, as listed in the Alexandria database. Values from VASP.

Geometry as Quantum ESPRESSO input:
```
&SYSTEM
  ibrav = 0, nat = 4, ntyp = 3
/
ATOMIC_SPECIES
Ca 40.08 Ca.upf
Ta 180.95 Ta.upf
Se 78.96 Se.upf
CELL_PARAMETERS angstrom
3.071 -4.566 0.000
3.071 4.566 0.000
0.000 0.000 3.411
ATOMIC_POSITIONS crystal
Ca 0.000 0.500 0.000
Ca 0.500 0.000 0.000
Ta 0.000 0.000 0.500
Se 0.500 0.500 0.500
```

Calculated values
Space group: Cmmm
Raw formation energy (eV/atom): 0.124

***

Record 8
First-principles (PBE) data for TbCe2Sb3 after structural relaxation, as listed in the Alexandria database. Values from VASP.

Geometry as Quantum ESPRESSO input:
```
&SYSTEM
  ibrav = 0, nat = 6, ntyp = 3
/
ATOMIC_SPECIES
Tb 158.93 Tb.upf
Ce 140.12 Ce.upf
Sb 121.76 Sb.upf
CELL_PARAMETERS angstrom
-2.233 3.161 6.702
2.233 -3.161 6.702
2.233 3.161 -6.702
ATOMIC_POSITIONS crystal
Tb 0.000 0.000 0.000
Ce 0.333 0.333 0.000
Ce 0.667 0.667 0.000
Sb 0.164 0.664 0.500
Sb 0.500 0.000 0.500
Sb 0.836 0.336 0.500
```

Calculated values
Space group: Immm
Raw formation energy (eV/atom): -1.076
Offset from the most stable computed form (meV/atom): 0.0